# 1
This record from Alexandria describes a relaxed structure of LaCr2. The functional is PBE.

Unit cell a=2.962 b=7.423 c=5.349 alpha=90.00 beta=90.00 gamma=90.00
Atoms (fractional coordinates):
1 La 0.000 0.000 0.000
2 La 0.500 0.500 0.500
3 Cr 0.235 0.392 0.000
4 Cr 0.265 0.892 0.500
5 Cr 0.735 0.108 0.500
6 Cr 0.765 0.608 0.000

Calculated values
As for the symmetry: Pnnm (58). The formation energy from the elements is 0.90 eV per atom. The calculation puts the total magnetization at 0.000 μB per atom. For the energy, the calculation gives -42.95 eV for the cell shown.

# 2
This record from Alexandria describes a relaxed structure of La8Cr. The functional is PBE.

Unit cell a=8.103 b=8.103 c=8.103 alpha=95.87 beta=95.87 gamma=142.68
Atoms (fractional coordinates):
1 La 0.000 0.320 0.320
2 La 0.000 0.680 0.680
3 La 0.320 0.000 0.320
4 La 0.335 0.335 0.671
5 La 0.335 0.665 0.000
6 La 0.665 0.335 0.000
7 La 0.665 0.665 0.329
8 La 0.680 0.000 0.680
9 Cr 0.000 0.000 0.000

Calculated values
As for the symmetry: I4/mmm (139). The formation energy from the elements is 0.17 eV per atom. The calculation puts the total magnetization at 0.322 μB per atom. For the energy, the calculation gives -47.48 eV for the cell shown.

# 3
This record from Alexandria describes a relaxed structure of LaCr. The functional is PBE.

Unit cell a=3.605 b=3.605 c=8.829 alpha=90.00 beta=90.00 gamma=120.00
Atoms (fractional coordinates):
1 La 0.333 0.667 0.305
2 La 0.667 0.333 0.695
3 Cr 0.333 0.667 0.945
4 Cr 0.667 0.333 0.055

Calculated values
As for the symmetry: P-3m1 (164). The formation energy from the elements is 0.69 eV per atom. The calculation puts the total magnetization at 0.000 μB per atom. For the energy, the calculation gives -26.34 eV for the cell shown.

# 4
This record from Alexandria describes a relaxed structure of LaCr2. The functional is PBE.

Unit cell a=3.868 b=3.868 c=5.085 alpha=90.00 beta=90.00 gamma=90.00
Atoms (fractional coordinates):
1 La 0.000 0.000 0.000
2 Cr 0.000 0.500 0.500
3 Cr 0.500 0.000 0.500

Calculated values
As for the symmetry: P4/mmm (123). The formation energy from the elements is 1.08 eV per atom. The calculation puts the total magnetization at 2.409 μB per atom. For the energy, the calculation gives -20.94 eV for the cell shown.

# 5
This record from Alexandria describes a relaxed structure of La3Cr. The functional is PBE.

Unit cell a=3.699 b=3.699 c=10.900 alpha=90.00 beta=90.00 gamma=120.00
Atoms (fractional coordinates):
1 La 0.000 0.000 0.000
2 La 0.333 0.667 0.289
3 La 0.333 0.667 0.711
4 Cr 0.000 0.000 0.500

Calculated values
As for the symmetry: P-6m2 (187). The formation energy from the elements is 0.41 eV per atom. The calculation puts the total magnetization at 0.948 μB per atom. For the energy, the calculation gives -22.75 eV for the cell shown.

# 6
This record from Alexandria describes a relaxed structure of LaCr. The functional is PBE.

Unit cell a=3.136 b=3.136 c=9.022 alpha=90.00 beta=90.00 gamma=90.00
Atoms (fractional coordinates):
1 La 0.250 0.250 0.191
2 La 0.750 0.750 0.809
3 Cr 0.250 0.250 0.552
4 Cr 0.750 0.750 0.448

Calculated values
As for the symmetry: P4/nmm (129). The formation energy from the elements is 0.44 eV per atom. The calculation puts the total magnetization at 0.000 μB per atom. For the energy, the calculation gives -27.33 eV for the cell shown.

# 7
This record from Alexandria describes a relaxed structure of La3Cr2. The functional is PBE.

Unit cell a=5.137 b=5.137 c=6.408 alpha=90.00 beta=90.00 gamma=120.00
Atoms (fractional coordinates):
1 La 0.000 0.000 0.000
2 La 0.333 0.667 0.348
3 La 0.667 0.333 0.652
4 Cr 0.333 0.667 0.866
5 Cr 0.667 0.333 0.134

Calculated values
As for the symmetry: P-3m1 (164). The energy above the most stable polymorph in this dataset is 0 meV/atom. The formation energy from the elements is 0.46 eV per atom. The calculation puts the total magnetization at 1.234 μB per atom. For the energy, the calculation gives -31.71 eV for the cell shown.

# 8
This record from Alexandria describes a relaxed structure of La3Cr. The functional is PBE.

Unit cell a=7.668 b=10.106 c=6.639 alpha=90.00 beta=90.00 gamma=90.00
Atoms (fractional coordinates):
1 La 0.033 0.250 0.122
2 La 0.175 0.055 0.672
3 La 0.175 0.445 0.672
4 La 0.325 0.555 0.172
5 La 0.325 0.945 0.172
6 La 0.467 0.750 0.622
7 La 0.533 0.250 0.378
8 La 0.675 0.055 0.828
9 La 0.675 0.445 0.828
10 La 0.825 0.555 0.328
11 La 0.825 0.945 0.328
12 La 0.967 0.750 0.878
13 Cr 0.120 0.750 0.445
14 Cr 0.380 0.250 0.945
15 Cr 0.620 0.750 0.055
16 Cr 0.880 0.250 0.555

Calculated values
As for the symmetry: Pnma (62). The formation energy from the elements is 0.27 eV per atom. The calculation puts the total magnetization at 0.647 μB per atom. For the energy, the calculation gives -93.32 eV for the cell shown.